Computed, not measured: a geometry-optimized KFeP2 structure at the PBE level of DFT.

```
KFeP2
1.0
3.8447 -2.0835 1.0201
-0.0838 -4.1199 1.7840
1.3556 -3.5259 -2.4277
P Fe K
2 1 1
direct
0.2500 0.2500 0.2500
0.7500 0.7500 0.7500
0.5000 0.5000 0.5000
0.0000 0.0000 0.0000
```

Summary:
- space-group type = Fm-3m, No. 225
- VASP energy (eV per cell) = -17.318
- ΔE_f (eV/atom) = 0.77
- ΔE to the lowest computed polymorph (eV/atom) = 1.024